This record from the Alexandria database describes Cu2MoRu2 after structural relaxation. The functional is GGA-PBE.

## Properties
* density: 9.72 g/cm3
* energy of formation from the pure elements: 450 meV/atom
* total DFT energy (no corrections): -7.0654 eV per atom
* energy above the most stable polymorph in this dataset: 0.0 meV/atom

```
data_Cu2MoRu2
_chemical_formula_sum 'Cu4 Mo2 Ru4'
_symmetry_space_group_name_H-M 'I 4/m m m'
_symmetry_Int_Tables_number 139
_symmetry_space_group_name_Hall '-I 4 2'
_cell_length_a 3.203
_cell_length_b 3.203
_cell_length_c 14.167
_cell_angle_alpha 90.00
_cell_angle_beta 90.00
_cell_angle_gamma 90.00
loop_
_atom_site_label
_atom_site_type_symbol
_atom_site_fract_x
_atom_site_fract_y
_atom_site_fract_z
Cu1 Cu 0.000 0.500 0.250
Mo1 Mo 0.000 0.000 0.000
Ru1 Ru 0.000 0.000 0.401
```



This record from the Alexandria database describes CuMoRu2 after structural relaxation. The functional is GGA-PBE.

## Properties
* density: 10.54 g/cm3
* energy of formation from the pure elements: 389 meV/atom
* total DFT energy (no corrections): -7.9806 eV per atom
* energy above the most stable polymorph in this dataset: 255.9 meV/atom

```
data_CuMoRu2
_chemical_formula_sum 'Cu1 Mo1 Ru2'
_symmetry_space_group_name_H-M 'P m m m'
_symmetry_Int_Tables_number 47
_cell_length_a 2.776
_cell_length_b 4.461
_cell_length_c 4.601
_cell_angle_alpha 90.00
_cell_angle_beta 90.00
_cell_angle_gamma 90.00
loop_
_symmetry_equiv_pos_as_xyz
'x,y,z'
'-x,-y,-z'
'-x,-y,z'
'x,y,-z'
'x,-y,-z'
'-x,y,z'
'-x,y,-z'
'x,-y,z'
loop_
_atom_site_label
_atom_site_type_symbol
_atom_site_fract_x
_atom_site_fract_y
_atom_site_fract_z
Cu1 Cu 0.000 0.000 0.000
Mo1 Mo 0.500 0.000 0.500
Ru1 Ru 0.000 0.500 0.500
Ru2 Ru 0.500 0.500 0.000
```